! BaZrTaPd2 | Alexandria | GGA-PBEsol | optimized geometry; values from VASP
! Crystal system: tetragonal
! DOS(E_F) in states/eV/atom: 0.839
! Energy relative to the elements in eV per atom: 0.420
! M_tot in μB per formula unit: 0.0
&SYSTEM
  ibrav = 0, nat = 5, ntyp = 4
/
ATOMIC_SPECIES
Pd 106.42 Pd.upf
Ta 180.95 Ta.upf
Zr 91.22 Zr.upf
Ba 137.33 Ba.upf
ATOMIC_POSITIONS angstrom
Pd 0.000 2.535 0.000
Pd 0.000 0.000 2.535
Ta 0.000 0.000 0.000
Zr 2.448 0.000 0.000
Ba 2.448 2.535 2.535
CELL_PARAMETERS angstrom
4.897 0.000 0.000
0.000 5.070 0.000
0.000 0.000 5.070

! BaTe2Pd2 | Alexandria | GGA-PBEsol | optimized geometry; values from VASP
! Uncorrected formation energy in eV per atom: -0.83
! Crystal system: tetragonal
! DOS(E_F) in states/eV/atom: 0.509
! M_tot in μB per formula unit: 0.0
&SYSTEM
  ibrav = 0, nat = 5, ntyp = 3
/
ATOMIC_SPECIES
Pd 106.42 Pd.upf
Te 127.60 Te.upf
Ba 137.33 Ba.upf
ATOMIC_POSITIONS angstrom
Pd 0.000 2.262 3.072
Pd 2.262 0.000 3.072
Te 0.000 0.000 4.492
Te 2.262 2.262 1.652
Ba 0.000 0.000 0.000
CELL_PARAMETERS angstrom
4.524 0.000 0.000
0.000 4.524 0.000
-2.262 -2.262 6.144

! BaTe2Pd | Alexandria | GGA-PBEsol | optimized geometry; values from VASP
! Uncorrected formation energy in eV per atom: -0.69
! Crystal system: tetragonal
! DOS(E_F) in states/eV/atom: 0.192
! M_tot in μB per formula unit: 0.0
&SYSTEM
  ibrav = 0, nat = 8, ntyp = 3
/
ATOMIC_SPECIES
Te 127.60 Te.upf
Pd 106.42 Pd.upf
Ba 137.33 Ba.upf
ATOMIC_POSITIONS angstrom
Te -2.936 -2.222 2.219
Te 0.140 -5.788 3.179
Te 2.987 -5.539 2.005
Te -3.870 -3.657 -0.352
Pd -3.924 -1.052 0.070
Pd -1.101 -3.501 3.621
Ba 0.000 0.000 0.000
Ba -0.738 -5.102 -0.096
CELL_PARAMETERS angstrom
-4.287 0.549 3.786
-3.561 -2.652 -3.647
6.009 -6.499 3.387

! BaTiPd2 | Alexandria | GGA-PBEsol | optimized geometry; values from VASP
! Crystal system: cubic
! DOS(E_F) in states/eV/atom: 1.275
! Energy relative to the elements in eV per atom: 0.099
! M_tot in μB per formula unit: 1.2
&SYSTEM
  ibrav = 0, nat = 4, ntyp = 3
/
ATOMIC_SPECIES
Pd 106.42 Pd.upf
Ti 47.87 Ti.upf
Ba 137.33 Ba.upf
ATOMIC_POSITIONS angstrom
Pd 7.370 4.255 3.009
Pd 2.457 1.418 1.003
Ti 0.000 0.000 0.000
Ba 4.913 2.837 2.006
CELL_PARAMETERS angstrom
4.913 0.000 0.000
2.457 4.255 0.000
2.457 1.418 4.012

! BaTiPd3 | Alexandria | GGA-PBEsol | optimized geometry; values from VASP
! Crystal system: cubic
! DOS(E_F) in states/eV/atom: 0.878
! Energy relative to the elements in eV per atom: -0.057
! M_tot in μB per formula unit: 0.0
&SYSTEM
  ibrav = 0, nat = 5, ntyp = 3
/
ATOMIC_SPECIES
Ti 47.87 Ti.upf
Pd 106.42 Pd.upf
Ba 137.33 Ba.upf
ATOMIC_POSITIONS angstrom
Ti 0.000 0.000 0.000
Pd -1.992 0.421 -1.290
Pd -0.945 -2.075 0.782
Pd -0.974 1.152 1.880
Ba -3.911 -0.502 1.372
CELL_PARAMETERS angstrom
-3.984 0.842 -2.581
-1.890 -4.150 1.564
-1.948 2.304 3.760

! BaTl2Pd2 | Alexandria | GGA-PBEsol | optimized geometry; values from VASP
! Crystal system: tetragonal
! DOS(E_F) in states/eV/atom: 0.447
! Energy relative to the elements in eV per atom: -0.376
! M_tot in μB per formula unit: 0.0
&SYSTEM
  ibrav = 0, nat = 5, ntyp = 3
/
ATOMIC_SPECIES
Tl 204.38 Tl.upf
Pd 106.42 Pd.upf
Ba 137.33 Ba.upf
ATOMIC_POSITIONS angstrom
Tl -2.961 -2.370 -0.339
Tl -3.278 1.709 0.238
Pd -3.122 -0.576 1.681
Pd -3.117 -0.085 -1.782
Ba 0.000 0.000 0.000
CELL_PARAMETERS angstrom
-1.625 -2.573 -3.899
-1.633 -3.554 3.027
-2.981 5.467 0.771

! BaZn2Pd2 | Alexandria | GGA-PBEsol | optimized geometry; values from VASP
! Crystal system: tetragonal
! DOS(E_F) in states/eV/atom: 0.330
! Energy relative to the elements in eV per atom: -0.453
! M_tot in μB per formula unit: 0.0
&SYSTEM
  ibrav = 0, nat = 5, ntyp = 3
/
ATOMIC_SPECIES
Ba 137.33 Ba.upf
Pd 106.42 Pd.upf
Zn 65.41 Zn.upf
ATOMIC_POSITIONS angstrom
Ba 0.000 0.000 0.000
Pd 2.174 2.174 1.372
Pd 0.000 0.000 4.051
Zn 0.000 2.174 2.712
Zn 2.174 0.000 2.712
CELL_PARAMETERS angstrom
4.349 0.000 0.000
0.000 4.349 0.000
-2.174 -2.174 5.423

! Ba3ZrPd | Alexandria | GGA-PBEsol | optimized geometry; values from VASP
! Crystal system: cubic
! DOS(E_F) in states/eV/atom: 1.865
! Energy relative to the elements in eV per atom: 0.438
! M_tot in μB per formula unit: 3.3
&SYSTEM
  ibrav = 0, nat = 5, ntyp = 3
/
ATOMIC_SPECIES
Zr 91.22 Zr.upf
Ba 137.33 Ba.upf
Pd 106.42 Pd.upf
ATOMIC_POSITIONS angstrom
Zr 2.994 2.994 2.994
Ba 0.000 2.994 0.000
Ba 2.994 0.000 0.000
Ba 0.000 0.000 2.994
Pd 0.000 0.000 0.000
CELL_PARAMETERS angstrom
5.988 0.000 0.000
0.000 5.988 0.000
0.000 0.000 5.988

! BaPr2S4 | Alexandria | GGA-PBEsol | optimized geometry; values from VASP
! Uncorrected formation energy in eV per atom: -2.11
! Crystal system: tetragonal
! DOS(E_F) in states/eV/atom: 0.000
! M_tot in μB per formula unit: 0.0
&SYSTEM
  ibrav = 0, nat = 14, ntyp = 3
/
ATOMIC_SPECIES
Ba 137.33 Ba.upf
S 32.06 S.upf
Pr 140.91 Pr.upf
ATOMIC_POSITIONS angstrom
Ba 3.793 0.001 3.097
Ba 2.526 3.576 0.000
S -1.782 1.918 4.623
S 2.010 1.919 4.667
S -2.821 -1.347 5.659
S 2.199 0.468 0.535
S 4.930 2.538 1.570
S 0.972 -1.346 3.632
S 3.663 6.113 1.527
S 0.933 4.043 2.562
Pr 0.004 1.338 2.328
Pr 3.786 4.027 3.865
Pr -1.262 4.913 0.769
Pr 2.526 -3.124 5.425
CELL_PARAMETERS angstrom
7.585 0.003 0.000
-2.533 7.150 0.000
-2.526 -3.576 6.194

! BaPr2Se4 | Alexandria | GGA-PBEsol | optimized geometry; values from VASP
! Uncorrected formation energy in eV per atom: -1.96
! Crystal system: tetragonal
! DOS(E_F) in states/eV/atom: 0.000
! M_tot in μB per formula unit: 0.0
&SYSTEM
  ibrav = 0, nat = 14, ntyp = 3
/
ATOMIC_SPECIES
Pr 140.91 Pr.upf
Se 78.96 Se.upf
Ba 137.33 Ba.upf
ATOMIC_POSITIONS angstrom
Pr 2.612 2.326 2.425
Pr 2.636 -0.469 5.643
Pr 1.291 6.037 0.794
Pr -1.303 -0.470 4.012
Se 0.540 1.730 4.848
Se 0.325 3.218 0.556
Se 1.601 5.098 3.774
Se -3.399 1.729 4.808
Se 0.305 -2.325 5.881
Se 5.387 1.090 1.629
Se 1.647 -0.492 2.663
Se 4.066 4.801 1.589
Ba -1.321 3.711 3.218
Ba 0.000 0.000 0.000
CELL_PARAMETERS angstrom
7.878 0.002 0.000
-2.643 7.422 0.000
-2.618 -3.712 6.437

! BaPt3 | Alexandria | GGA-PBEsol | optimized geometry; values from VASP
! Crystal system: monoclinic
! DOS(E_F) in states/eV/atom: 0.614
! Energy relative to the elements in eV per atom: -0.533
! M_tot in μB per formula unit: 0.0
&SYSTEM
  ibrav = 0, nat = 4, ntyp = 2
/
ATOMIC_SPECIES
Pt 195.08 Pt.upf
Ba 137.33 Ba.upf
ATOMIC_POSITIONS angstrom
Pt 2.251 1.304 2.451
Pt 6.775 3.926 3.058
Pt 4.513 2.615 2.755
Ba 0.000 0.000 0.000
CELL_PARAMETERS angstrom
4.533 0.007 0.037
2.260 3.929 0.037
2.233 1.294 5.435

! BaPt2 | Alexandria | GGA-PBEsol | optimized geometry; values from VASP
! Crystal system: tetragonal
! DOS(E_F) in states/eV/atom: 0.656
! Energy relative to the elements in eV per atom: -0.522
! M_tot in μB per formula unit: 0.0
&SYSTEM
  ibrav = 0, nat = 6, ntyp = 2
/
ATOMIC_SPECIES
Pt 195.08 Pt.upf
Ba 137.33 Ba.upf
ATOMIC_POSITIONS angstrom
Pt 2.255 0.000 5.022
Pt 2.255 0.000 2.452
Pt 0.000 0.000 6.188
Pt 2.255 2.255 1.285
Ba 0.000 0.000 0.000
Ba 0.000 2.255 3.737
CELL_PARAMETERS angstrom
4.509 0.000 0.000
0.000 4.509 0.000
-2.255 -2.255 7.473

! BaPt5 | Alexandria | GGA-PBEsol | optimized geometry; values from VASP
! Crystal system: hexagonal
! DOS(E_F) in states/eV/atom: 0.625
! Energy relative to the elements in eV per atom: -0.444
! M_tot in μB per formula unit: 0.0
&SYSTEM
  ibrav = 0, nat = 6, ntyp = 2
/
ATOMIC_SPECIES
Pt 195.08 Pt.upf
Ba 137.33 Ba.upf
ATOMIC_POSITIONS angstrom
Pt -1.820 -0.374 -2.590
Pt -2.981 -1.091 0.290
Pt -1.047 2.189 -2.522
Pt -2.789 1.112 1.798
Pt -3.118 1.284 -0.937
Ba 0.000 0.000 0.000
CELL_PARAMETERS angstrom
-1.435 4.033 0.426
-0.658 0.344 -5.471
-4.142 -1.809 3.170

! BaPt3 | Alexandria | GGA-PBEsol | optimized geometry; values from VASP
! Crystal system: orthorhombic
! DOS(E_F) in states/eV/atom: 0.447
! Energy relative to the elements in eV per atom: -0.501
! M_tot in μB per formula unit: 0.0
&SYSTEM
  ibrav = 0, nat = 8, ntyp = 2
/
ATOMIC_SPECIES
Ba 137.33 Ba.upf
Pt 195.08 Pt.upf
ATOMIC_POSITIONS angstrom
Ba 2.775 -3.784 -1.999
Ba -0.812 -1.116 -2.880
Pt 2.373 -2.705 -5.434
Pt 3.341 -5.086 -4.820
Pt -0.411 -2.195 0.556
Pt 0.756 -4.478 -4.327
Pt 6.035 -1.559 -1.473
Pt 1.206 -0.422 -0.552
CELL_PARAMETERS angstrom
-0.633 -4.131 1.780
-1.428 -1.962 -5.061
7.413 -1.745 -1.415

! BaPt4 | Alexandria | GGA-PBEsol | optimized geometry; values from VASP
! Crystal system: cubic
! DOS(E_F) in states/eV/atom: 0.880
! Energy relative to the elements in eV per atom: 1.532
! M_tot in μB per formula unit: 0.0
&SYSTEM
  ibrav = 0, nat = 5, ntyp = 2
/
ATOMIC_SPECIES
Pt 195.08 Pt.upf
Ba 137.33 Ba.upf
ATOMIC_POSITIONS angstrom
Pt -0.892 2.522 0.000
Pt 2.675 0.000 0.000
Pt 0.892 1.261 2.184
Pt -0.892 -1.261 2.184
Ba 0.000 0.000 0.000
CELL_PARAMETERS angstrom
5.350 0.000 0.000
-1.783 5.044 0.000
-1.783 -2.522 4.369

! BaPt5 | Alexandria | GGA-PBEsol | optimized geometry; values from VASP
! Crystal system: monoclinic
! DOS(E_F) in states/eV/atom: 0.947
! Energy relative to the elements in eV per atom: -0.041
! M_tot in μB per formula unit: 0.0
&SYSTEM
  ibrav = 0, nat = 6, ntyp = 2
/
ATOMIC_SPECIES
Pt 195.08 Pt.upf
Ba 137.33 Ba.upf
ATOMIC_POSITIONS angstrom
Pt 0.000 4.096 2.005
Pt 1.453 1.769 4.277
Pt 1.453 3.049 6.624
Pt 1.453 5.951 3.407
Pt 0.000 4.009 4.592
Ba 0.000 0.490 0.190
CELL_PARAMETERS angstrom
2.905 0.000 0.000
-1.453 6.133 0.012
0.000 -0.341 6.649

! BaPt2 | Alexandria | GGA-PBEsol | optimized geometry; values from VASP
! Crystal system: cubic
! DOS(E_F) in states/eV/atom: 0.486
! Energy relative to the elements in eV per atom: -0.706
! M_tot in μB per formula unit: 0.0
&SYSTEM
  ibrav = 0, nat = 6, ntyp = 2
/
ATOMIC_SPECIES
Pt 195.08 Pt.upf
Ba 137.33 Ba.upf
ATOMIC_POSITIONS angstrom
Pt 5.606 3.237 0.572
Pt 7.007 4.046 2.861
Pt 5.606 1.618 2.861
Pt 4.204 4.046 2.861
Ba 0.000 0.000 0.000
Ba 2.803 1.618 1.144
CELL_PARAMETERS angstrom
5.606 0.000 0.000
2.803 4.855 0.000
2.803 1.618 4.577

! BaPt3 | Alexandria | GGA-PBEsol | optimized geometry; values from VASP
! Crystal system: orthorhombic
! DOS(E_F) in states/eV/atom: 0.798
! Energy relative to the elements in eV per atom: -0.046
! M_tot in μB per formula unit: 0.0
&SYSTEM
  ibrav = 0, nat = 4, ntyp = 2
/
ATOMIC_SPECIES
Pt 195.08 Pt.upf
Ba 137.33 Ba.upf
ATOMIC_POSITIONS angstrom
Pt 2.172 2.380 1.573
Pt 1.846 2.924 4.253
Pt 0.224 1.146 3.078
Ba 0.000 0.000 0.000
CELL_PARAMETERS angstrom
-2.336 1.451 1.030
0.061 -2.141 3.154
4.345 4.760 3.146

! Ba5Pt3 | Alexandria | GGA-PBEsol | optimized geometry; values from VASP
! Crystal system: hexagonal
! DOS(E_F) in states/eV/atom: 0.720
! Energy relative to the elements in eV per atom: -0.521
! M_tot in μB per formula unit: 0.0
&SYSTEM
  ibrav = 0, nat = 16, ntyp = 2
/
ATOMIC_SPECIES
Ba 137.33 Ba.upf
Pt 195.08 Pt.upf
ATOMIC_POSITIONS angstrom
Ba 0.000 4.571 2.639
Ba 5.516 -1.208 2.092
Ba 1.839 -3.363 5.825
Ba 1.839 6.726 0.000
Ba 3.677 4.571 2.639
Ba 5.516 3.363 5.825
Ba 3.677 0.000 5.278
Ba 5.516 2.416 0.000
Ba 0.000 0.000 5.278
Ba 1.839 1.208 2.092
Pt 5.516 -2.791 4.835
Pt 5.516 1.780 3.083
Pt 1.839 2.791 4.835
Pt 5.516 5.583 0.000
Pt 1.839 -1.780 3.083
Pt 1.839 3.559 0.000
CELL_PARAMETERS angstrom
7.354 0.000 0.000
0.000 9.142 0.000
0.000 -4.571 7.917

! Rb2BaPt | Alexandria | GGA-PBEsol | optimized geometry; values from VASP
! Crystal system: cubic
! DOS(E_F) in states/eV/atom: 0.564
! Energy relative to the elements in eV per atom: 0.391
! M_tot in μB per formula unit: 0.0
&SYSTEM
  ibrav = 0, nat = 4, ntyp = 3
/
ATOMIC_SPECIES
Ba 137.33 Ba.upf
Rb 85.47 Rb.upf
Pt 195.08 Pt.upf
ATOMIC_POSITIONS angstrom
Ba 0.000 0.000 0.000
Rb 2.913 1.682 1.189
Rb 8.740 5.046 3.568
Pt 5.827 3.364 2.379
CELL_PARAMETERS angstrom
5.827 0.000 0.000
2.913 5.046 0.000
2.913 1.682 4.758